First-principles (GGA-PBE) data for crystalline NaEuTiSnO6 at its relaxed geometry, as listed in Alexandria.

Geometry as CIF:
```
data_NaEuTiSnO6
_chemical_formula_sum 'Na1 Eu1 Ti1 Sn1 O6'
_space_group_name_H-M_alt 'P 1'
_space_group_IT_number 1
_cell_length_a 5.638
_cell_length_b 5.638
_cell_length_c 5.638
_cell_angle_alpha 60.00
_cell_angle_beta 60.00
_cell_angle_gamma 60.00
loop_
_space_group_symop_operation_xyz
'x,y,z'
loop_
_atom_site_label
_atom_site_type_symbol
_atom_site_fract_x
_atom_site_fract_y
_atom_site_fract_z
Na1 Na 0.750 0.750 0.750
Eu1 Eu 0.250 0.250 0.250
Ti1 Ti 0.500 0.500 0.500
Sn1 Sn 0.000 0.000 0.000
O1 O 0.256 0.744 0.256
O2 O 0.744 0.256 0.744
O3 O 0.256 0.744 0.744
O4 O 0.744 0.256 0.256
O5 O 0.256 0.256 0.744
O6 O 0.744 0.744 0.256
```

Results
Energy relative to the elements, uncorrected ... -22.79 eV/f.u.
Size of the total moment ... 6.00 μB/f.u.
Symmetry ... F-43m, No. 216
VASP energy ... -7.603 eV/atom

First-principles (GGA-PBE) data for crystalline NaEuTi4O12 at its relaxed geometry, as listed in Alexandria.

Geometry as CIF:
```
data_NaEuTi4O12
_chemical_formula_sum 'Na1 Eu1 Ti4 O12'
_space_group_name_H-M_alt 'P 1'
_space_group_IT_number 1
_cell_length_a 5.451
_cell_length_b 5.451
_cell_length_c 7.831
_cell_angle_alpha 90.00
_cell_angle_beta 90.00
_cell_angle_gamma 89.96
loop_
_space_group_symop_operation_xyz
'x,y,z'
loop_
_atom_site_label
_atom_site_type_symbol
_atom_site_fract_x
_atom_site_fract_y
_atom_site_fract_z
Na1 Na 0.003 0.997 0.500
Eu1 Eu 0.501 0.499 0.000
Ti1 Ti 0.001 0.498 0.740
Ti2 Ti 0.001 0.498 0.260
Ti3 Ti 0.502 0.999 0.260
Ti4 Ti 0.502 0.999 0.740
O1 O 0.265 0.263 0.769
O2 O 0.737 0.735 0.769
O3 O 0.737 0.735 0.231
O4 O 0.265 0.263 0.231
O5 O 0.749 0.251 0.777
O6 O 0.244 0.756 0.747
O7 O 0.244 0.756 0.253
O8 O 0.749 0.251 0.223
O9 O 0.021 0.512 0.000
O10 O 0.991 0.481 0.500
O11 O 0.488 0.979 0.000
O12 O 0.519 0.009 0.500
```

Results
Energy relative to the elements, uncorrected ... -41.92 eV/f.u.
Size of the total moment ... 9.38 μB/f.u.
Symmetry ... Amm2, No. 38
VASP energy ... -8.033 eV/atom

First-principles (GGA-PBE) data for crystalline NaEuTi2O6 at its relaxed geometry, as listed in Alexandria.

Geometry as CIF:
```
data_NaEuTi2O6
_chemical_formula_sum 'Na2 Eu2 Ti4 O12'
_space_group_name_H-M_alt 'P 1'
_space_group_IT_number 1
_cell_length_a 5.431
_cell_length_b 5.519
_cell_length_c 7.735
_cell_angle_alpha 90.00
_cell_angle_beta 90.00
_cell_angle_gamma 90.00
loop_
_space_group_symop_operation_xyz
'x,y,z'
loop_
_atom_site_label
_atom_site_type_symbol
_atom_site_fract_x
_atom_site_fract_y
_atom_site_fract_z
Na1 Na 0.503 0.770 0.500
Na2 Na 0.003 0.230 0.000
Eu1 Eu 0.007 0.296 0.500
Eu2 Eu 0.507 0.704 0.000
Ti1 Ti 0.512 0.240 0.248
Ti2 Ti 0.012 0.760 0.748
Ti3 Ti 0.512 0.240 0.752
Ti4 Ti 0.012 0.760 0.252
O1 O 0.567 0.234 0.500
O2 O 0.939 0.735 0.500
O3 O 0.439 0.265 0.000
O4 O 0.067 0.766 0.000
O5 O 0.280 0.538 0.279
O6 O 0.200 0.047 0.714
O7 O 0.700 0.953 0.786
O8 O 0.780 0.462 0.221
O9 O 0.700 0.953 0.214
O10 O 0.780 0.462 0.779
O11 O 0.280 0.538 0.721
O12 O 0.200 0.047 0.286
```

Results
Energy relative to the elements, uncorrected ... -28.09 eV/f.u.
Size of the total moment ... 5.98 μB/f.u.
Symmetry ... Pmn2_1, No. 31
VASP energy ... -8.522 eV/atom

First-principles (GGA-PBE) data for crystalline NaEuZrTiO6 at its relaxed geometry, as listed in Alexandria.

Geometry as CIF:
```
data_NaEuZrTiO6
_chemical_formula_sum 'Na1 Eu1 Zr1 Ti1 O6'
_space_group_name_H-M_alt 'P 1'
_space_group_IT_number 1
_cell_length_a 5.703
_cell_length_b 5.703
_cell_length_c 5.703
_cell_angle_alpha 60.00
_cell_angle_beta 60.00
_cell_angle_gamma 60.00
loop_
_space_group_symop_operation_xyz
'x,y,z'
loop_
_atom_site_label
_atom_site_type_symbol
_atom_site_fract_x
_atom_site_fract_y
_atom_site_fract_z
Na1 Na 0.750 0.750 0.750
Eu1 Eu 0.250 0.250 0.250
Zr1 Zr 0.500 0.500 0.500
Ti1 Ti 0.000 0.000 0.000
O1 O 0.242 0.758 0.242
O2 O 0.758 0.242 0.758
O3 O 0.242 0.758 0.758
O4 O 0.758 0.242 0.242
O5 O 0.242 0.242 0.758
O6 O 0.758 0.758 0.242
```

Results
Energy relative to the elements, uncorrected ... -27.81 eV/f.u.
Size of the total moment ... 5.99 μB/f.u.
Symmetry ... F-43m, No. 216
VASP energy ... -8.559 eV/atom